[1]
SrMg | PBE | relaxed

Output
Total DFT energy (no corrections): -1.6669 eV/atom
Magnetization: 0.00 μB/f.u.
DOS(E_F): 2.87 states/eV per cell

Cell and atoms, written as extended XYZ:
```
4
Lattice="6.534 -1.948 0.000 6.534 1.948 0.000 -2.146 0.000 5.796" Properties=species:S:1:pos:R:3 pbc="T T T"
Sr 0.640 0.000 1.878
Sr 10.282 0.000 3.918
Mg 4.232 0.000 0.802
Mg 6.690 0.000 4.994
```

=====

[2]
SrMg | PBE | relaxed

Output
Total DFT energy (no corrections): -1.5255 eV/atom
Magnetization: 0.00 μB/f.u.
DOS(E_F): 1.78 states/eV per cell

Cell and atoms, written as extended XYZ:
```
4
Lattice="4.038 0.000 0.000 -2.019 3.497 0.000 0.000 0.000 11.230" Properties=species:S:1:pos:R:3 pbc="T T T"
Sr 0.000 0.000 0.000
Sr 0.000 0.000 5.615
Mg 0.000 2.331 2.808
Mg 2.019 1.166 8.423
```

=====

[3]
Sr4Mg5 | PBE | relaxed

Output
Magnetization: 0.00 μB/f.u.
Relative energy among the computed polymorphs: 0 kJ/mol of formula units
DOS(E_F): 8.75 states/eV per cell

Cell and atoms, written as extended XYZ:
```
9
Lattice="-5.460 5.460 2.745 5.460 -5.460 2.745 5.460 5.460 -2.745" Properties=species:S:1:pos:R:3 pbc="T T T"
Sr 3.354 0.000 0.000
Sr 7.566 0.000 0.000
Sr 0.000 3.354 0.000
Sr 0.000 7.566 0.000
Mg 0.000 0.000 0.000
Mg 3.861 3.861 0.000
Mg 1.599 -1.599 2.745
Mg -1.599 1.599 2.745
Mg 1.599 1.599 2.745
```